(1)
Density functional theory data (GGA-PBE) for a relaxed Ca2SbAu2 crystal.

Lattice parameters (Å, degrees): 5.834 5.834 5.834 135.16 108.85 88.16
Atoms (fractional coordinates):
Ca  0.211  0.211  0.000
Ca  0.789  0.789  0.000
Sb  0.500  0.000  0.500
Au  0.205  0.500  0.705
Au  0.795  0.500  0.295

Values from the calculation:
crystal system = orthorhombic
relative energy among the computed polymorphs = 0.0 kJ/mol of atoms
formation energy without anion corrections = -779 meV/atom
symmetry = Immm (71)

=====

(2)
Density functional theory data (GGA-PBE) for a relaxed Ca3Sb2Au4 crystal.

Lattice parameters (Å, degrees): 6.051 6.051 9.233 112.53 112.53 45.44
Atoms (fractional coordinates):
Ca  0.000  0.000  0.000
Ca  0.350  0.350  0.317
Ca  0.650  0.650  0.683
Sb  0.371  0.371  0.709
Sb  0.629  0.629  0.291
Au  0.083  0.083  0.421
Au  0.285  0.285  0.949
Au  0.715  0.715  0.051
Au  0.917  0.917  0.579

Values from the calculation:
crystal system = monoclinic
formation energy without anion corrections = -763 meV/atom
symmetry = C2/m (12)